[1]
YScPt | Alexandria via LeMat-Bulk | PBE | relaxed; SG = P3m1; energy above the most stable polymorph in this dataset = 266 meV/atom
1.0
4.4929 0.0000 0.0000
-2.2464 3.8909 0.0000
0.0000 0.0000 4.0712
Pt Sc Y
1 1 1
direct
0.0000 0.0000 0.0811 Pt
0.3333 0.6667 0.2141 Sc
0.6667 0.3333 0.7048 Y

***

[2]
Ce3Al4Ir4 | Alexandria via LeMat-Bulk | PBE | relaxed; SG = Immm
1.0
-0.9350 3.8616 0.1241
2.5882 0.8498 -6.9414
-7.2682 -3.8324 0.8260
Ce Al Ir
3 4 4
direct
0.1170 0.1170 0.2339 Ce
0.8830 0.8830 0.7661 Ce
0.0000 0.5000 0.0000 Ce
0.3222 0.1277 0.6444 Al
0.6778 0.4833 0.3556 Al
0.6778 0.8723 0.3556 Al
0.3222 0.5167 0.6444 Al
0.2268 0.7268 0.4536 Ir
0.7732 0.2732 0.5464 Ir
0.5000 0.7821 0.0000 Ir
0.5000 0.2179 0.0000 Ir

***

Ordered total energy results: -0.513, -0.520; unit Ry per atom.
Ordered energy of formation from the pure elements results: -706, -873; unit meV/atom.